# 1
This record from Alexandria describes a geometry-optimized KH2O structure. The functional is PBE.

Geometry as POSCAR:
```
KH2O
1.0
-2.431 2.431 3.848
2.431 -2.431 3.848
2.431 2.431 -3.848
K H O
2 4 2
direct
0.375 0.625 0.750
0.625 0.375 0.250
0.000 0.000 0.000
0.000 0.000 0.500
0.000 0.500 0.000
0.500 0.000 0.500
0.125 0.875 0.250
0.875 0.125 0.750
```

Values from the calculation:
The crystal system is tetragonal. The raw total energy comes out at -12.855 eV per formula unit. The calculation puts the density of states at the Fermi level at 0.004 states/eV per atom. The volume comes out at 91.0 Å³ per cell. Its space group is I4_1/amd (141).

---

# 2
This record from Alexandria describes a geometry-optimized Nd3PaN4 structure. The functional is PBE.

Geometry as POSCAR:
```
Nd3PaN4
1.0
-2.549 2.549 5.104
2.549 -2.549 5.104
2.549 2.549 -5.104
Nd Pa N
3 1 4
direct
0.000 0.000 0.000
0.250 0.750 0.500
0.750 0.250 0.500
0.500 0.500 0.000
0.000 0.500 0.500
0.278 0.278 0.000
0.500 0.000 0.500
0.722 0.722 0.000
```

Values from the calculation:
The crystal system is tetragonal. The raw total energy comes out at -69.008 eV per formula unit. The calculation puts the density of states at the Fermi level at 0.313 states/eV per atom. The volume comes out at 132.6 Å³ per cell. Its space group is I4/mmm (139). The value obtained for the energy relative to the elements, uncorrected is -1488 meV/atom.

---

# 3
This record from Alexandria describes a geometry-optimized PmCd2Pb3 structure. The functional is PBE.

Geometry as POSCAR:
```
PmCd2Pb3
1.0
3.315 -8.395 0.000
3.315 8.395 0.000
0.000 0.000 6.138
Pm Cd Pb
2 4 6
direct
0.161 0.839 0.750
0.839 0.161 0.250
0.228 0.228 0.000
0.228 0.228 0.500
0.772 0.772 0.000
0.772 0.772 0.500
0.077 0.411 0.750
0.358 0.642 0.250
0.411 0.077 0.250
0.589 0.923 0.750
0.642 0.358 0.750
0.923 0.589 0.250
```

Values from the calculation:
As for the formation energy: -157.0 meV/atom. The crystal system is orthorhombic. The raw total energy comes out at -18.648 eV per formula unit. The calculation puts the density of states at the Fermi level at 0.541 states/eV per atom. The volume comes out at 341.6 Å³ per cell. Its space group is Cmcm (63).

---

# 4
This record from Alexandria describes a geometry-optimized Si3Hg4 structure. The functional is PBE.

Geometry as POSCAR:
```
Si3Hg4
1.0
5.112 0.000 0.000
-2.556 4.428 0.000
0.000 0.000 6.828
Si Hg
3 4
direct
0.000 0.500 0.000
0.500 0.000 0.000
0.500 0.500 0.000
0.000 0.000 0.259
0.000 0.000 0.741
0.333 0.667 0.500
0.667 0.333 0.500
```

Values from the calculation:
The crystal system is hexagonal. The raw total energy comes out at -14.398 eV per formula unit. The calculation puts the density of states at the Fermi level at 0.294 states/eV per atom. The volume comes out at 154.6 Å³ per cell. Its space group is P6/mmm (191). The value obtained for the energy relative to the elements, uncorrected is 440 meV/atom.

---

# 5
This record from Alexandria describes a geometry-optimized MgSc2HIr structure. The functional is PBE.

Geometry as POSCAR:
```
MgSc2HIr
1.0
4.445 0.000 0.000
0.000 4.445 0.000
0.000 0.000 3.838
Mg Sc H Ir
1 2 1 1
direct
0.000 0.000 0.000
0.000 0.500 0.500
0.500 0.000 0.500
0.000 0.000 0.500
0.500 0.500 0.000
```

Values from the calculation:
The crystal system is tetragonal. The raw total energy comes out at -28.861 eV per formula unit. The calculation puts the density of states at the Fermi level at 0.370 states/eV per atom. The volume comes out at 75.8 Å³ per cell. Its space group is P4/mmm (123).

---

# 6
This record from Alexandria describes a geometry-optimized TbSmH structure. The functional is PBE.

Geometry as POSCAR:
```
TbSmH
1.0
4.942 -7.427 0.000
4.942 7.427 0.000
-4.919 0.000 7.332
Tb Sm H
8 8 8
direct
0.000 0.000 0.000
0.233 0.233 0.521
0.235 0.953 0.747
0.474 0.976 0.513
0.491 0.730 0.763
0.730 0.491 0.763
0.953 0.235 0.747
0.976 0.474 0.513
0.216 0.491 0.271
0.230 0.718 0.011
0.427 0.427 0.003
0.491 0.216 0.271
0.716 0.716 0.498
0.718 0.230 0.011
0.733 0.972 0.241
0.972 0.733 0.241
0.134 0.273 0.003
0.224 0.978 0.505
0.249 0.726 0.533
0.273 0.134 0.003
0.486 0.486 0.537
0.726 0.249 0.533
0.754 0.754 0.998
0.978 0.224 0.505
```

Values from the calculation:
The crystal system is monoclinic. The raw total energy comes out at -13.381 eV per formula unit. The calculation puts the density of states at the Fermi level at 0.966 states/eV per atom. The volume comes out at 538.3 Å³ per cell. Its space group is Cm (8).

---

# 7
This record from Alexandria describes a geometry-optimized Ba4CdBi8 structure. The functional is PBE.

Geometry as POSCAR:
```
Ba4CdBi8
1.0
4.789 0.000 0.000
0.000 5.268 0.000
0.000 0.000 19.176
Ba Cd Bi
4 1 8
direct
0.000 0.000 0.000
0.000 0.500 0.477
0.500 0.000 0.785
0.500 0.500 0.283
0.000 0.500 0.715
0.000 0.000 0.320
0.000 0.000 0.623
0.000 0.500 0.133
0.000 0.500 0.868
0.500 0.000 0.147
0.500 0.000 0.430
0.500 0.500 0.621
0.500 0.500 0.984
```

Values from the calculation:
As for the formation energy: -564.9 meV/atom. The crystal system is orthorhombic. The raw total energy comes out at -46.998 eV per formula unit. The calculation puts the density of states at the Fermi level at 0.482 states/eV per atom. The volume comes out at 483.8 Å³ per cell. Its space group is Pmm2 (25).

---

# 8
This record from Alexandria describes a geometry-optimized PPd2N structure. The functional is PBE.

Geometry as POSCAR:
```
PPd2N
1.0
-2.339 2.339 5.765
2.339 -2.339 5.765
2.339 2.339 -5.765
P Pd N
2 4 2
direct
0.000 0.000 0.000
0.750 0.250 0.500
0.193 0.625 0.068
0.375 0.443 0.568
0.557 0.125 0.932
0.875 0.807 0.432
0.250 0.750 0.500
0.500 0.500 0.000
```

Values from the calculation:
The crystal system is tetragonal. The raw total energy comes out at -22.405 eV per formula unit. The calculation puts the density of states at the Fermi level at 0.545 states/eV per atom. The volume comes out at 126.1 Å³ per cell. Its space group is I-42d (122). The value obtained for the energy relative to the elements, uncorrected is 429 meV/atom.

---

# 9
This record from Alexandria describes a geometry-optimized SmErCdIr structure. The functional is PBE.

Geometry as POSCAR:
```
SmErCdIr
1.0
0.000 3.584 3.584
3.584 0.000 3.584
3.584 3.584 0.000
Sm Er Cd Ir
1 1 1 1
direct
0.000 0.000 0.000
0.500 0.500 0.500
0.750 0.750 0.750
0.250 0.250 0.250
```

Values from the calculation:
As for the formation energy: -516.9 meV/atom. The crystal system is cubic. The raw total energy comes out at -21.126 eV per formula unit. The calculation puts the density of states at the Fermi level at 0.688 states/eV per atom. The volume comes out at 92.1 Å³ per cell. Its space group is F-43m (216).

---

# 10
This record from Alexandria describes a geometry-optimized Pa5GeSe4 structure. The functional is PBE.

Geometry as POSCAR:
```
Pa5GeSe4
1.0
-4.569 4.569 2.887
4.569 -4.569 2.887
4.569 4.569 -2.887
Pa Ge Se
5 1 4
direct
0.000 0.000 0.000
0.198 0.599 0.798
0.401 0.198 0.599
0.599 0.802 0.401
0.802 0.401 0.202
0.500 0.500 0.000
0.102 0.299 0.401
0.299 0.898 0.197
0.701 0.102 0.803
0.898 0.701 0.599
```

Values from the calculation:
The crystal system is tetragonal. The raw total energy comes out at -76.814 eV per formula unit. The calculation puts the density of states at the Fermi level at 1.857 states/eV per atom. The volume comes out at 241.1 Å³ per cell. Its space group is I4/m (87). The value obtained for the energy relative to the elements, uncorrected is -1078 meV/atom.

---

# 11
This record from Alexandria describes a geometry-optimized CaSbAs2 structure. The functional is PBE.

Geometry as POSCAR:
```
CaSbAs2
1.0
-2.400 2.400 4.124
2.400 -2.400 4.124
2.400 2.400 -4.124
Ca Sb As
1 1 2
direct
0.000 0.000 0.000
0.500 0.500 0.000
0.250 0.750 0.500
0.750 0.250 0.500
```

Values from the calculation:
The crystal system is tetragonal. The raw total energy comes out at -16.503 eV per formula unit. The calculation puts the density of states at the Fermi level at 0.314 states/eV per atom. The volume comes out at 95.0 Å³ per cell. Its space group is I4/mmm (139). The value obtained for the energy relative to the elements, uncorrected is -270 meV/atom.

---

# 12
This record from Alexandria describes a geometry-optimized Tb2Ga3Ni4Ir structure. The functional is PBE.

Geometry as POSCAR:
```
Tb2Ga3Ni4Ir
1.0
3.918 0.000 0.000
0.000 3.918 0.000
0.000 0.000 10.612
Tb Ga Ni Ir
2 3 4 1
direct
0.000 0.500 0.241
0.500 0.000 0.759
0.000 0.000 0.000
0.000 0.500 0.630
0.500 0.000 0.370
0.000 0.000 0.500
0.000 0.500 0.855
0.500 0.000 0.145
0.500 0.500 0.500
0.500 0.500 0.000
```

Values from the calculation:
As for the formation energy: -524.7 meV/atom. The crystal system is tetragonal. The raw total energy comes out at -55.575 eV per formula unit. The calculation puts the density of states at the Fermi level at 0.856 states/eV per atom. The volume comes out at 162.9 Å³ per cell. Its space group is P-4m2 (115).